Cr3In2F8 | PBE+U | relaxed

For the total energy, the calculation gives -72.48 eV per cell. As for the spin magnetization: 0.92 μB/atom.

The structure belongs to space group P-1 (No. 2); the cell edges are 5.549, 6.854 and 7.512 Å and the angles 64.42°, 86.30° and 83.92°. The asymmetric unit holds Cr at (0.000, 0.000, 0.000), Cr at (0.499, 0.257, 0.003), In at (0.021, 0.682, 0.627), F at (0.184, 0.850, 0.839), F at (0.195, 0.330, 0.844), F at (0.315, 0.899, 0.152) and F at (0.343, 0.396, 0.176).